(1)
SrHf2Pd2, relaxed, DFT PBE-GGA; offset from the most stable computed form = 0 meV/atom; energy relative to the elements = -0.412 eV per atom; symmetry = No. 139
1.0
-2.3125 2.3125 5.6193
2.3125 -2.3125 5.6193
2.3125 2.3125 -5.6193
Sr Hf Pd
1 2 2
Cartesian
0.0000 0.0000 0.0000 Sr
2.3125 0.0000 2.8097 Hf
0.0000 2.3125 2.8097 Hf
0.0000 0.0000 4.2189 Pd
0.0000 0.0000 7.0197 Pd

***

(2)
SrHfPd3, relaxed, DFT PBE-GGA; offset from the most stable computed form = 1192 meV/atom; energy relative to the elements = 1.042 eV per atom; symmetry = No. 221
1.0
5.0175 0.0000 0.0000
0.0000 5.0175 0.0000
0.0000 0.0000 5.0175
Sr Hf Pd
1 1 3
Cartesian
0.0000 0.0000 0.0000 Sr
2.5087 2.5087 2.5087 Hf
0.0000 0.0000 2.5087 Pd
0.0000 2.5087 0.0000 Pd
2.5087 0.0000 0.0000 Pd

***

(3)
SrHfTe2Pd, relaxed, DFT PBE-GGA; formation energy (no corrections) = -0.63 eV/atom; symmetry = No. 123
1.0
5.5730 0.0000 0.0000
0.0000 5.5730 0.0000
0.0000 0.0000 5.0484
Sr Hf Te Pd
1 1 2 1
Cartesian
0.0000 0.0000 0.0000 Sr
2.7865 2.7865 2.5242 Hf
0.0000 2.7865 2.5242 Te
2.7865 0.0000 2.5242 Te
2.7865 2.7865 0.0000 Pd

***

(4)
Hf2TaPd, relaxed, DFT PBE-GGA; offset from the most stable computed form = 0 meV/atom; energy relative to the elements = -0.351 eV per atom; symmetry = No. 123
1.0
3.2761 0.0000 0.0000
0.0000 3.2761 0.0000
0.0000 0.0000 7.1334
Hf Ta Pd
2 1 1
Cartesian
0.0000 0.0000 1.7488 Hf
0.0000 0.0000 5.3846 Hf
1.6380 1.6380 3.5667 Ta
1.6380 1.6380 0.0000 Pd